VASP calculation (PBE with a Hubbard U) on TaCrFeO6 after structural relaxation.

Properties
total magnetic moment = 9.99 μB per cell
calculated total energy = -143.952 eV/cell

```
TaCrFeO6
1.0
4.672 0.000 0.000
0.000 4.672 0.000
0.000 0.000 8.977
O Ta Fe Cr
12 2 2 2
direct
0.205 0.795 0.831
0.810 0.190 0.497
0.690 0.690 0.997
0.694 0.694 0.670
0.194 0.806 0.170
0.310 0.310 0.997
0.190 0.810 0.497
0.705 0.705 0.331
0.806 0.194 0.170
0.295 0.295 0.331
0.306 0.306 0.670
0.795 0.205 0.831
0.000 0.000 0.667
0.500 0.500 0.167
0.000 0.000 0.002
0.500 0.500 0.502
0.000 0.000 0.335
0.500 0.500 0.835
```